A relaxed Tb3Al4Ge2 crystal, computed with PBE.

The energy relative to the elements comes out at -0.56 eV per atom. As for the total magnetization: 0.00 μB per atom. For the volume, the calculation gives 21.405 A^3/atom. The calculation puts the calculated density at 6.29 g/cm³.

Cell: 5.893 5.893 8.463 Å, 103.20 103.20 42.55°
Element x y z (fractional)
Tb  0.000  0.000  0.000
Tb  0.332  0.332  0.337
Tb  0.668  0.668  0.663
Al  0.047  0.047  0.381
Al  0.270  0.270  0.936
Al  0.730  0.730  0.064
Al  0.953  0.953  0.619
Ge  0.388  0.388  0.721
Ge  0.612  0.612  0.279

=====

A relaxed Tb2Al2Ge3 crystal, computed with PBE.

The energy relative to the elements comes out at -0.56 eV per atom. The offset from the most stable computed form comes out at 0.00 eV per formula unit. As for the total magnetization: 0.00 μB per atom. For the volume, the calculation gives 21.524 A^3/atom. The calculation puts the calculated density at 6.50 g/cm³.

Cell: 7.889 7.889 11.785 Å, 125.11 125.11 30.79°
Element x y z (fractional)
Tb  0.096  0.096  0.442
Tb  0.232  0.232  0.837
Tb  0.768  0.768  0.163
Tb  0.904  0.904  0.558
Al  0.096  0.096  0.165
Al  0.449  0.449  0.190
Al  0.551  0.551  0.810
Al  0.904  0.904  0.835
Ge  0.114  0.114  0.963
Ge  0.335  0.335  0.679
Ge  0.408  0.408  0.376
Ge  0.592  0.592  0.624
Ge  0.665  0.665  0.321
Ge  0.886  0.886  0.037

=====

A relaxed Tb2AlGe crystal, computed with PBE.

The energy relative to the elements comes out at -0.49 eV per atom. As for the total magnetization: 0.00 μB per atom. For the volume, the calculation gives 23.227 A^3/atom. The calculation puts the calculated density at 7.46 g/cm³.

Cell: 6.670 6.693 8.325 Å, 90.00 90.00 90.00°
Element x y z (fractional)
Tb  0.250  0.250  0.250
Tb  0.250  0.250  0.750
Tb  0.250  0.750  0.250
Tb  0.250  0.750  0.750
Tb  0.750  0.250  0.250
Tb  0.750  0.250  0.750
Tb  0.750  0.750  0.250
Tb  0.750  0.750  0.750
Al  0.000  0.000  0.000
Al  0.000  0.500  0.500
Al  0.500  0.000  0.500
Al  0.500  0.500  0.000
Ge  0.000  0.000  0.500
Ge  0.000  0.500  0.000
Ge  0.500  0.000  0.000
Ge  0.500  0.500  0.500

=====

A relaxed TbAlGe2 crystal, computed with PBE.

The energy relative to the elements comes out at -0.33 eV per atom. As for the total magnetization: 0.00 μB per atom. For the volume, the calculation gives 20.072 A^3/atom. The calculation puts the calculated density at 6.85 g/cm³.

Cell: 3.598 3.598 6.203 Å, 90.00 90.00 90.00°
Element x y z (fractional)
Tb  0.000  0.000  0.000
Al  0.000  0.000  0.500
Ge  0.500  0.500  0.293
Ge  0.500  0.500  0.707

=====

A relaxed TbAl4Ge crystal, computed with PBE.

The energy relative to the elements comes out at -0.15 eV per atom. As for the total magnetization: 0.00 μB per atom. For the volume, the calculation gives 19.455 A^3/atom. The calculation puts the calculated density at 4.83 g/cm³.

Cell: 5.486 5.486 5.486 Å, 60.00 60.00 60.00°
Element x y z (fractional)
Tb  0.000  0.000  0.000
Al  0.375  0.375  0.375
Al  0.375  0.375  0.875
Al  0.375  0.875  0.375
Al  0.875  0.375  0.375
Ge  0.750  0.750  0.750

=====

A relaxed Tb2AlGe3 crystal, computed with PBE.

The energy relative to the elements comes out at -0.40 eV per atom. The offset from the most stable computed form comes out at 1.56 eV per formula unit. As for the total magnetization: 0.00 μB per atom. For the volume, the calculation gives 23.006 A^3/atom. The calculation puts the calculated density at 6.77 g/cm³.

Cell: 4.432 6.004 10.375 Å, 90.00 90.00 90.00°
Element x y z (fractional)
Tb  0.000  0.000  0.189
Tb  0.000  0.000  0.811
Tb  0.500  0.500  0.311
Tb  0.500  0.500  0.689
Al  0.000  0.000  0.500
Al  0.500  0.500  0.000
Ge  0.000  0.500  0.132
Ge  0.000  0.500  0.500
Ge  0.000  0.500  0.868
Ge  0.500  0.000  0.000
Ge  0.500  0.000  0.368
Ge  0.500  0.000  0.632